## KPmSnI6 (PBE)

Data for a relaxed KPmSnI6 crystal.

DOS(E_F): 0.000 states/eV per cell
ΔE_f (raw): -948 kJ/mol of formula units

Cell lengths 7.7691, 7.7691, 14.4378 Å; angles 90.00, 90.00, 90.00 degrees
Atoms (fractional coordinates):
I: 0.2935 0.2935 0.6831
I: 0.1823 0.8177 0.4979
I: 0.8177 0.1823 0.4979
I: 0.7162 0.7162 0.3213
I: 0.7935 0.2065 0.1830
I: 0.2162 0.7838 0.8213
I: 0.6823 0.6823 0.9979
I: 0.2065 0.7935 0.1830
I: 0.7838 0.2162 0.8213
I: 0.2838 0.2838 0.3213
I: 0.3177 0.3177 0.9979
I: 0.7065 0.7065 0.6831
Sn: 0.0000 0.0000 0.6661
Sn: 0.5000 0.5000 0.1661
K: 0.0000 0.0000 0.9983
K: 0.5000 0.5000 0.4983
Pm: 0.0000 0.0000 0.3312
Pm: 0.5000 0.5000 0.8312